# 1
## Sc3CrAs (PBEsol)

Data for Sc3CrAs after structural relaxation.

Unit cell a=4.980 b=4.980 c=4.980 alpha=90.00 beta=90.00 gamma=90.00
Atoms (fractional coordinates):
Sc: 0.000 0.000 0.500
Sc: 0.000 0.500 0.000
Sc: 0.500 0.000 0.000
Cr: 0.500 0.500 0.500
As: 0.000 0.000 0.000

The density of states at the Fermi level is 10.2 states/eV/f.u. The magnetic moment comes out at 5.1 μB/cell. The value obtained for the calculated formation energy is 0.14 eV per atom. Its total energy is -6.8958 eV/atom. Its space group is Pm-3m.

---

# 2
## CaYBr2 (PBEsol)

Data for CaYBr2 after structural relaxation.

Unit cell a=3.623 b=4.638 c=6.701 alpha=90.00 beta=90.00 gamma=90.00
Atoms (fractional coordinates):
Ca: 0.000 0.000 0.000
Y: 0.500 0.000 0.500
Br: 0.000 0.500 0.500
Br: 0.500 0.500 0.000

The density of states at the Fermi level is 3.1 states/eV/f.u. The magnetic moment comes out at 0.0 μB/cell. The excess energy over the best structure of this formula in the dataset comes out at 112 meV per atom. Its total energy is -4.2260 eV/atom. Its space group is Pmmm. The uncorrected formation energy comes out at -1.05 eV/atom.

---

# 3
## GaH2AuN (PBEsol)

Data for GaH2AuN after structural relaxation.

Unit cell a=3.284 b=3.284 c=4.527 alpha=90.00 beta=90.00 gamma=90.00
Atoms (fractional coordinates):
Ga: 0.000 0.000 0.000
H: 0.000 0.500 0.000
H: 0.500 0.000 0.000
Au: 0.500 0.500 0.500
N: 0.000 0.000 0.500

The density of states at the Fermi level is 0.7 states/eV/f.u. The magnetic moment comes out at 0.0 μB/cell. Its total energy is -3.8086 eV/atom. Its space group is P4/mmm.

---

# 4
## BaH4C2O6 (PBEsol)

Data for BaH4C2O6 after structural relaxation.

Unit cell a=7.402 b=11.025 c=6.968 alpha=90.00 beta=105.43 gamma=90.00
Atoms (fractional coordinates):
Ba: 0.203 0.010 0.294
Ba: 0.203 0.490 0.794
Ba: 0.797 0.510 0.206
Ba: 0.797 0.990 0.706
H: 0.245 0.215 0.907
H: 0.245 0.285 0.407
H: 0.360 0.522 0.280
H: 0.360 0.978 0.780
H: 0.400 0.115 0.744
H: 0.400 0.385 0.244
H: 0.463 0.245 0.471
H: 0.463 0.255 0.971
H: 0.537 0.745 0.029
H: 0.537 0.755 0.529
H: 0.600 0.615 0.756
H: 0.600 0.885 0.256
H: 0.640 0.022 0.220
H: 0.640 0.478 0.720
H: 0.755 0.715 0.593
H: 0.755 0.785 0.093
C: 0.042 0.747 0.491
C: 0.042 0.753 0.991
C: 0.214 0.700 0.425
C: 0.214 0.800 0.925
C: 0.786 0.200 0.075
C: 0.786 0.300 0.575
C: 0.958 0.247 0.009
C: 0.958 0.253 0.509
O: 0.017 0.641 0.999
O: 0.017 0.859 0.499
O: 0.061 0.164 0.963
O: 0.061 0.336 0.463
O: 0.235 0.586 0.427
O: 0.235 0.914 0.927
O: 0.319 0.722 0.876
O: 0.319 0.778 0.376
O: 0.350 0.248 0.855
O: 0.350 0.252 0.355
O: 0.416 0.031 0.694
O: 0.416 0.469 0.194
O: 0.584 0.531 0.806
O: 0.584 0.969 0.306
O: 0.650 0.748 0.645
O: 0.650 0.752 0.145
O: 0.681 0.222 0.624
O: 0.681 0.278 0.124
O: 0.765 0.086 0.073
O: 0.765 0.414 0.573
O: 0.939 0.664 0.537
O: 0.939 0.836 0.037
O: 0.983 0.141 0.501
O: 0.983 0.359 0.001

The density of states at the Fermi level is 0.0 states/eV/f.u. The magnetic moment comes out at 0.0 μB/cell. Its total energy is -6.5641 eV/atom. Its space group is P2_1/c.

---

# 5
## Na2CdH4S2O10 (PBEsol)

Data for Na2CdH4S2O10 after structural relaxation.

Unit cell a=5.876 b=12.917 c=5.588 alpha=90.00 beta=106.85 gamma=90.00
Atoms (fractional coordinates):
Na: 0.087 0.117 0.267
Na: 0.087 0.383 0.767
Na: 0.913 0.617 0.233
Na: 0.913 0.883 0.733
Cd: 0.500 0.000 0.000
Cd: 0.500 0.500 0.500
H: 0.173 0.163 0.824
H: 0.173 0.337 0.324
H: 0.410 0.213 0.009
H: 0.410 0.287 0.509
H: 0.590 0.713 0.491
H: 0.590 0.787 0.991
H: 0.827 0.663 0.676
H: 0.827 0.837 0.176
S: 0.257 0.619 0.915
S: 0.257 0.881 0.415
S: 0.743 0.119 0.585
S: 0.743 0.381 0.085
O: 0.061 0.694 0.899
O: 0.061 0.806 0.399
O: 0.208 0.562 0.670
O: 0.208 0.938 0.170
O: 0.251 0.540 0.111
O: 0.251 0.960 0.611
O: 0.306 0.150 0.983
O: 0.306 0.350 0.483
O: 0.491 0.670 0.977
O: 0.491 0.830 0.477
O: 0.509 0.170 0.523
O: 0.509 0.330 0.023
O: 0.694 0.650 0.517
O: 0.694 0.850 0.017
O: 0.749 0.040 0.389
O: 0.749 0.460 0.889
O: 0.792 0.062 0.830
O: 0.792 0.438 0.330
O: 0.939 0.194 0.601
O: 0.939 0.306 0.101

The density of states at the Fermi level is 0.0 states/eV/f.u. The magnetic moment comes out at 0.0 μB/cell. Its total energy is -5.5986 eV/atom. Its space group is P2_1/c.

---

# 6
## KCd3 (PBEsol)

Data for KCd3 after structural relaxation.

Unit cell a=3.372 b=3.372 c=10.488 alpha=90.00 beta=90.00 gamma=120.00
Atoms (fractional coordinates):
K: 0.000 0.000 0.000
Cd: 0.000 0.000 0.500
Cd: 0.667 0.333 0.278
Cd: 0.667 0.333 0.722

The density of states at the Fermi level is 1.9 states/eV/f.u. The magnetic moment comes out at 0.0 μB/cell. The value obtained for the calculated formation energy is 0.14 eV per atom. Its total energy is -1.0388 eV/atom. Its space group is P-6m2.

---

# 7
## RbSb3Au (PBEsol)

Data for RbSb3Au after structural relaxation.

Unit cell a=5.476 b=5.476 c=5.476 alpha=90.00 beta=90.00 gamma=90.00
Atoms (fractional coordinates):
Rb: 0.000 0.000 0.000
Sb: 0.000 0.500 0.500
Sb: 0.500 0.000 0.500
Sb: 0.500 0.500 0.000
Au: 0.500 0.500 0.500

The density of states at the Fermi level is 4.7 states/eV/f.u. The magnetic moment comes out at 0.0 μB/cell. Its total energy is -3.5154 eV/atom. Its space group is Pm-3m. The uncorrected formation energy comes out at 0.21 eV/atom.

---

# 8
## LiCo2Mo (PBEsol)

Data for LiCo2Mo after structural relaxation.

Unit cell a=2.523 b=2.523 c=7.862 alpha=90.00 beta=90.00 gamma=90.00
Atoms (fractional coordinates):
Li: 0.000 0.000 0.000
Co: 0.000 0.000 0.445
Co: 0.500 0.500 0.249
Mo: 0.500 0.500 0.696

The density of states at the Fermi level is 4.1 states/eV/f.u. The magnetic moment comes out at 2.7 μB/cell. The value obtained for the calculated formation energy is 0.26 eV per atom. The excess energy over the best structure of this formula in the dataset comes out at 13 meV per atom. Its total energy is -7.0398 eV/atom. Its space group is P4mm.

---

# 9
## RbNaPt2 (PBEsol)

Data for RbNaPt2 after structural relaxation.

Unit cell a=10.419 b=10.419 c=10.419 alpha=152.64 beta=152.64 gamma=39.08
Atoms (fractional coordinates):
Rb: 0.375 0.625 0.750
Rb: 0.625 0.375 0.250
Na: 0.125 0.875 0.250
Na: 0.875 0.125 0.750
Pt: 0.000 0.000 0.000
Pt: 0.000 0.000 0.500
Pt: 0.000 0.500 0.000
Pt: 0.500 0.000 0.500

The density of states at the Fermi level is 2.3 states/eV/f.u. The magnetic moment comes out at 0.0 μB/cell. The value obtained for the calculated formation energy is 0.34 eV per atom. Its total energy is -3.7478 eV/atom. Its space group is I4_1/amd.

---

# 10
## Tl5C (PBEsol)

Data for Tl5C after structural relaxation.

Unit cell a=3.252 b=3.252 c=13.742 alpha=90.00 beta=90.00 gamma=90.00
Atoms (fractional coordinates):
Tl: 0.000 0.000 0.000
Tl: 0.000 0.000 0.388
Tl: 0.000 0.000 0.612
Tl: 0.500 0.500 0.193
Tl: 0.500 0.500 0.807
C: 0.500 0.500 0.500

The density of states at the Fermi level is 3.9 states/eV/f.u. The magnetic moment comes out at 0.0 μB/cell. The value obtained for the calculated formation energy is 0.80 eV per atom. Its total energy is -3.0019 eV/atom. Its space group is P4/mmm.

---

# 11
## P2PbC (PBEsol)

Data for P2PbC after structural relaxation.

Unit cell a=4.531 b=4.531 c=4.531 alpha=60.00 beta=60.00 gamma=60.00
Atoms (fractional coordinates):
P: 0.250 0.250 0.250
P: 0.750 0.750 0.750
Pb: 0.000 0.000 0.000
C: 0.500 0.500 0.500

The density of states at the Fermi level is 2.6 states/eV/f.u. The magnetic moment comes out at 0.0 μB/cell. The value obtained for the calculated formation energy is 1.82 eV per atom. Its total energy is -4.4834 eV/atom. Its space group is Fm-3m.

---

# 12
## GaOs2Cl2 (PBEsol)

Data for GaOs2Cl2 after structural relaxation.

Unit cell a=6.135 b=6.135 c=6.135 alpha=141.89 beta=141.89 gamma=55.00
Atoms (fractional coordinates):
Ga: 0.000 0.000 0.000
Os: 0.250 0.750 0.500
Os: 0.750 0.250 0.500
Cl: 0.366 0.366 0.000
Cl: 0.634 0.634 0.000

The density of states at the Fermi level is 4.0 states/eV/f.u. The magnetic moment comes out at 0.0 μB/cell. Its total energy is -5.1578 eV/atom. Its space group is I4/mmm. The uncorrected formation energy comes out at 1.20 eV/atom.

---

# 13
## GaAs2PtBr (PBEsol)

Data for GaAs2PtBr after structural relaxation.

Unit cell a=4.787 b=4.787 c=5.465 alpha=90.00 beta=90.00 gamma=90.00
Atoms (fractional coordinates):
Ga: 0.000 0.000 0.000
As: 0.000 0.500 0.500
As: 0.500 0.000 0.500
Pt: 0.500 0.500 0.500
Br: 0.500 0.500 0.000

The density of states at the Fermi level is 3.8 states/eV/f.u. The magnetic moment comes out at 0.0 μB/cell. Its total energy is -4.0656 eV/atom. Its space group is P4/mmm. The uncorrected formation energy comes out at 0.41 eV/atom.

---

# 14
## CrRuAu2 (PBEsol)

Data for CrRuAu2 after structural relaxation.

Unit cell a=2.844 b=3.579 c=5.883 alpha=90.00 beta=90.00 gamma=90.00
Atoms (fractional coordinates):
Cr: 0.000 0.000 0.000
Ru: 0.500 0.500 0.186
Au: 0.000 0.000 0.457
Au: 0.500 0.500 0.731

The density of states at the Fermi level is 2.6 states/eV/f.u. The magnetic moment comes out at 1.8 μB/cell. The value obtained for the calculated formation energy is 0.22 eV per atom. The excess energy over the best structure of this formula in the dataset comes out at 0 meV per atom. Its total energy is -6.8440 eV/atom. Its space group is Pmm2.

---

# 15
## LiIn2Br2 (PBEsol)

Data for LiIn2Br2 after structural relaxation.

Unit cell a=6.105 b=6.105 c=6.105 alpha=120.12 beta=120.12 gamma=89.80
Atoms (fractional coordinates):
Li: 0.000 0.000 0.000
In: 0.328 0.328 0.000
In: 0.672 0.672 0.000
Br: 0.250 0.750 0.500
Br: 0.750 0.250 0.500

The density of states at the Fermi level is 2.1 states/eV/f.u. The magnetic moment comes out at 0.8 μB/cell. Its total energy is -2.7108 eV/atom. Its space group is I4/mmm. The uncorrected formation energy comes out at -0.38 eV/atom.

---

# 16
## TlTcBr2 (PBEsol)

Data for TlTcBr2 after structural relaxation.

Unit cell a=3.273 b=7.176 c=7.176 alpha=36.17 beta=90.00 gamma=90.00
Atoms (fractional coordinates):
Tl: 0.000 0.000 0.000
Tc: 0.500 0.470 0.470
Br: 0.000 0.332 0.332
Br: 0.500 0.652 0.652

The density of states at the Fermi level is 2.9 states/eV/f.u. The magnetic moment comes out at 0.0 μB/cell. The excess energy over the best structure of this formula in the dataset comes out at 0 meV per atom. Its total energy is -4.3758 eV/atom. Its space group is Amm2. The uncorrected formation energy comes out at 0.03 eV/atom.

---

# 17
## Mg5Ag (PBEsol)

Data for Mg5Ag after structural relaxation.

Unit cell a=5.352 b=5.352 c=4.926 alpha=90.00 beta=90.00 gamma=120.00
Atoms (fractional coordinates):
Mg: 0.000 0.679 0.000
Mg: 0.321 0.321 0.000
Mg: 0.333 0.667 0.500
Mg: 0.667 0.333 0.500
Mg: 0.679 0.000 0.000
Ag: 0.000 0.000 0.500

The density of states at the Fermi level is 1.8 states/eV/f.u. The magnetic moment comes out at 0.0 μB/cell. The value obtained for the calculated formation energy is -0.07 eV per atom. Its total energy is -2.0547 eV/atom. Its space group is P-62m.

---

# 18
## Mg3Sc (PBEsol)

Data for Mg3Sc after structural relaxation.

Unit cell a=3.204 b=3.204 c=8.789 alpha=90.00 beta=90.00 gamma=90.00
Atoms (fractional coordinates):
Mg: 0.000 0.000 0.000
Mg: 0.500 0.500 0.247
Mg: 0.500 0.500 0.753
Sc: 0.000 0.000 0.500

The density of states at the Fermi level is 3.4 states/eV/f.u. The magnetic moment comes out at 0.2 μB/cell. The value obtained for the calculated formation energy is -0.03 eV per atom. Its total energy is -2.9642 eV/atom. Its space group is P4/mmm.

---

# 19
## Cd8Rh (PBEsol)

Data for Cd8Rh after structural relaxation.

Unit cell a=6.756 b=6.756 c=6.756 alpha=95.38 beta=95.38 gamma=144.35
Atoms (fractional coordinates):
Cd: 0.000 0.327 0.327
Cd: 0.000 0.673 0.673
Cd: 0.327 0.000 0.327
Cd: 0.340 0.340 0.679
Cd: 0.340 0.660 0.000
Cd: 0.660 0.340 0.000
Cd: 0.660 0.660 0.321
Cd: 0.673 0.000 0.673
Rh: 0.000 0.000 0.000

The density of states at the Fermi level is 2.8 states/eV/f.u. The magnetic moment comes out at 0.0 μB/cell. The value obtained for the calculated formation energy is -0.02 eV per atom. Its total energy is -1.9931 eV/atom. Its space group is I4/mmm.

---

# 20
## KBa2Br2 (PBEsol)

Data for KBa2Br2 after structural relaxation.

Unit cell a=8.852 b=8.852 c=8.852 alpha=143.14 beta=143.14 gamma=53.12
Atoms (fractional coordinates):
K: 0.000 0.000 0.000
Ba: 0.356 0.356 0.000
Ba: 0.644 0.644 0.000
Br: 0.250 0.750 0.500
Br: 0.750 0.250 0.500

The density of states at the Fermi level is 3.4 states/eV/f.u. The magnetic moment comes out at 0.0 μB/cell. Its total energy is -3.0280 eV/atom. Its space group is I4/mmm. The uncorrected formation energy comes out at -1.19 eV/atom.

---

# 21
## LaW (PBEsol)

Data for LaW after structural relaxation.

Unit cell a=4.367 b=3.168 c=6.762 alpha=90.00 beta=90.00 gamma=90.00
Atoms (fractional coordinates):
La: 0.250 0.000 0.166
La: 0.750 0.000 0.834
W: 0.250 0.500 0.593
W: 0.750 0.500 0.407

The density of states at the Fermi level is 2.2 states/eV/f.u. The magnetic moment comes out at 0.0 μB/cell. The value obtained for the calculated formation energy is 0.72 eV per atom. The excess energy over the best structure of this formula in the dataset comes out at 167 meV per atom. Its total energy is -8.8537 eV/atom. Its space group is Pmma.

---

# 22
## LiTa4Os (PBEsol)

Data for LiTa4Os after structural relaxation.

Unit cell a=5.295 b=5.295 c=5.295 alpha=60.00 beta=60.00 gamma=60.00
Atoms (fractional coordinates):
Li: 0.000 0.000 0.000
Ta: 0.376 0.376 0.376
Ta: 0.376 0.376 0.873
Ta: 0.376 0.873 0.376
Ta: 0.873 0.376 0.376
Os: 0.750 0.750 0.750

The density of states at the Fermi level is 6.8 states/eV/f.u. The magnetic moment comes out at 0.0 μB/cell. The value obtained for the calculated formation energy is 0.61 eV per atom. Its total energy is -10.1247 eV/atom. Its space group is F-43m.

---

# 23
## Sc2TlPb (PBEsol)

Data for Sc2TlPb after structural relaxation.

Unit cell a=3.557 b=4.845 c=5.590 alpha=90.00 beta=101.14 gamma=90.00
Atoms (fractional coordinates):
Sc: 0.000 0.000 0.000
Sc: 0.000 0.500 0.500
Tl: 0.500 0.000 0.500
Pb: 0.500 0.500 0.000

The density of states at the Fermi level is 3.3 states/eV/f.u. The magnetic moment comes out at 0.0 μB/cell. The value obtained for the calculated formation energy is -0.33 eV per atom. The excess energy over the best structure of this formula in the dataset comes out at 62 meV per atom. Its total energy is -5.2938 eV/atom. Its space group is P2/m.

---

# 24
## BaGeBr2 (PBEsol)

Data for BaGeBr2 after structural relaxation.

Unit cell a=5.477 b=5.477 c=5.477 alpha=60.00 beta=60.00 gamma=60.00
Atoms (fractional coordinates):
Ba: 0.000 0.000 0.000
Ge: 0.500 0.500 0.500
Br: 0.250 0.250 0.250
Br: 0.750 0.750 0.750

The density of states at the Fermi level is 3.1 states/eV/f.u. The magnetic moment comes out at 1.6 μB/cell. Its total energy is -3.5524 eV/atom. Its space group is Fm-3m. The uncorrected formation energy comes out at -0.85 eV/atom.